Record 1
# CaAgMo2 | Alexandria via LeMat-Bulk | PBE-GGA | relaxed
data_CaAgMo2
_symmetry_space_group_name_H-M 'P 1 m 1'
_symmetry_Int_Tables_number 6
_cell_length_a 3.285
_cell_length_b 3.281
_cell_length_c 7.538
_cell_angle_alpha 90.00
_cell_angle_beta 92.30
_cell_angle_gamma 90.00
loop_
_symmetry_equiv_pos_as_xyz
'x,y,z'
'x,-y,z'
loop_
_atom_site_label
_atom_site_fract_x
_atom_site_fract_y
_atom_site_fract_z
Ca1 0.000 0.000 0.000
Ag1 0.524 0.500 0.288
Mo1 0.059 0.000 0.536
Mo2 0.498 0.500 0.697
# energy above the most stable polymorph in this dataset: 0.0 meV/atom
# electronic total energy: -0.232 Ha/atom
# D(E_F): 0.942 states/eV/atom



Record 2
# Ca4AgMo | Alexandria via LeMat-Bulk | PBE-GGA | relaxed
data_Ca4AgMo
_symmetry_space_group_name_H-M 'F -4 3 m'
_symmetry_Int_Tables_number 216
_symmetry_space_group_name_Hall 'F -4 2 3'
_cell_length_a 9.145
_cell_length_b 9.145
_cell_length_c 9.145
_cell_angle_alpha 90.00
_cell_angle_beta 90.00
_cell_angle_gamma 90.00
loop_
_atom_site_label
_atom_site_fract_x
_atom_site_fract_y
_atom_site_fract_z
Ca1 0.125 0.125 0.125
Ag1 0.000 0.000 0.500
Mo1 0.250 0.250 0.750
# electronic total energy: -0.098 Ha/atom
# D(E_F): 1.010 states/eV/atom



Record 3
# CaAg2Mo | Alexandria via LeMat-Bulk | PBE-GGA | relaxed
data_CaAg2Mo
_symmetry_space_group_name_H-M 'R -3 m'
_symmetry_Int_Tables_number 166
_symmetry_space_group_name_Hall '-R 3 2"'
_cell_length_a 2.9907
_cell_length_b 2.9907
_cell_length_c 30.0601
_cell_angle_alpha 90.00
_cell_angle_beta 90.00
_cell_angle_gamma 120.00
loop_
_atom_site_label
_atom_site_fract_x
_atom_site_fract_y
_atom_site_fract_z
Ca1 0.0000 0.0000 0.0000
Ag1 0.0000 0.0000 0.2454
Mo1 0.0000 0.0000 0.5000
# energy above the most stable polymorph in this dataset: 193.1 meV/atom
# electronic total energy: -0.148 Ha/atom
# D(E_F): 1.328 states/eV/atom



Record 4
# CaAg2Mo | Alexandria via LeMat-Bulk | PBE-GGA | relaxed
data_CaAg2Mo
_symmetry_space_group_name_H-M 'P m m 2'
_symmetry_Int_Tables_number 25
_cell_length_a 2.900
_cell_length_b 5.001
_cell_length_c 5.324
_cell_angle_alpha 90.00
_cell_angle_beta 90.00
_cell_angle_gamma 90.00
loop_
_symmetry_equiv_pos_as_xyz
'x,y,z'
'-x,-y,z'
'-x,y,z'
'x,-y,z'
loop_
_atom_site_label
_atom_site_fract_x
_atom_site_fract_y
_atom_site_fract_z
Ca1 0.000 0.000 0.000
Ag1 0.500 0.000 0.505
Ag2 0.500 0.500 0.154
Mo1 0.000 0.500 0.627
# energy above the most stable polymorph in this dataset: 15.4 meV/atom
# electronic total energy: -0.155 Ha/atom
# D(E_F): 0.705 states/eV/atom